(1)
CuSi2Te | GGA-PBEsol | relaxed

Unit cell a=3.681 b=3.681 c=5.230 alpha=90.00 beta=90.00 gamma=90.00
Sites, in units of the cell vectors:
Si1 0.500 0.000 0.000
Si2 0.000 0.500 0.000
Te1 0.500 0.500 0.500
Cu1 0.000 0.000 0.500

- raw formation energy (eV per atom) = 0.448



(2)
CsGaBP2HO9 | GGA-PBEsol | relaxed

Unit cell a=8.678 b=9.400 c=9.653 alpha=104.27 beta=90.00 gamma=90.00
Sites, in units of the cell vectors:
O1 0.681 0.921 0.254
O2 0.290 0.839 0.566
O3 0.097 0.924 0.768
O4 0.869 0.152 0.677
O5 0.903 0.076 0.232
O6 0.319 0.079 0.746
O7 0.484 0.574 0.804
O8 0.597 0.076 0.732
O9 0.832 0.404 0.160
O10 0.369 0.848 0.823
O11 0.984 0.426 0.696
O12 0.819 0.921 0.754
O13 0.532 0.810 0.042
O14 0.131 0.848 0.323
O15 0.159 0.574 0.570
O16 0.057 0.302 0.267
O17 0.668 0.404 0.660
O18 0.557 0.698 0.233
O19 0.181 0.079 0.246
O20 0.332 0.596 0.340
O21 0.790 0.161 0.934
O22 0.631 0.152 0.177
O23 0.443 0.302 0.767
O24 0.710 0.161 0.434
O25 0.403 0.924 0.268
O26 0.659 0.426 0.930
O27 0.968 0.810 0.542
O28 0.016 0.574 0.304
O29 0.168 0.596 0.840
O30 0.210 0.839 0.066
O31 0.032 0.190 0.458
O32 0.468 0.190 0.958
O33 0.516 0.426 0.196
O34 0.841 0.426 0.430
O35 0.341 0.574 0.070
O36 0.943 0.698 0.733
H1 0.549 0.896 0.004
H2 0.049 0.104 0.496
H3 0.451 0.104 0.996
H4 0.951 0.896 0.504
B1 0.540 0.841 0.201
B2 0.460 0.159 0.799
B3 0.960 0.841 0.701
B4 0.040 0.159 0.299
Ga1 0.843 0.302 0.566
Ga2 0.657 0.302 0.066
Ga3 0.343 0.698 0.934
Ga4 0.157 0.698 0.434
P1 0.432 0.571 0.205
P2 0.932 0.429 0.295
P3 0.229 0.915 0.223
P4 0.068 0.571 0.705
P5 0.271 0.915 0.723
P6 0.729 0.085 0.277
P7 0.771 0.085 0.777
P8 0.568 0.429 0.795
Cs1 0.615 0.693 0.558
Cs2 0.885 0.693 0.058
Cs3 0.115 0.307 0.942
Cs4 0.385 0.307 0.442



(3)
La2Sc | GGA-PBEsol | relaxed

Unit cell a=5.595 b=6.147 c=6.147 alpha=120.00 beta=90.00 gamma=90.00
Sites, in units of the cell vectors:
La1 0.500 0.000 0.000
La2 0.000 0.370 0.370
La3 0.000 0.000 0.630
La4 0.000 0.630 0.000
Sc1 0.500 0.667 0.333
Sc2 0.500 0.333 0.667

- energy above the lowest structure with this stoichiometry (eV/atom) = 0.031
- ΔE_f (eV/atom) = 0.07



(4)
BaSc2P2 | GGA-PBEsol | relaxed

Unit cell a=4.313 b=4.313 c=7.216 alpha=107.39 beta=107.39 gamma=90.00
Sites, in units of the cell vectors:
P1 0.637 0.637 0.274
P2 0.363 0.363 0.726
Sc1 0.250 0.750 0.500
Sc2 0.750 0.250 0.500
Ba1 0.000 0.000 0.000

- ΔE_f (eV/atom) = -1.11



(5)
SrCuP | GGA-PBEsol | relaxed

Unit cell a=4.030 b=4.030 c=4.301 alpha=90.00 beta=90.00 gamma=120.00
Sites, in units of the cell vectors:
Sr1 0.667 0.333 0.500
Cu1 0.000 0.000 0.000
P1 0.333 0.667 0.000

- ΔE_f (eV/atom) = -0.82



(6)
CsCoCuF6 | GGA-PBEsol | relaxed

Unit cell a=6.998 b=7.139 c=7.139 alpha=60.07 beta=60.66 gamma=60.66
Sites, in units of the cell vectors:
F1 0.578 0.694 0.564
F2 0.189 0.061 0.561
F3 0.836 0.306 0.436
F4 0.574 0.676 0.176
F5 0.811 0.939 0.439
F6 0.422 0.936 0.806
F7 0.164 0.694 0.564
F8 0.164 0.064 0.194
F9 0.578 0.064 0.194
F10 0.836 0.936 0.806
F11 0.426 0.324 0.824
F12 0.422 0.306 0.436
Cs1 0.875 0.375 0.875
Cs2 0.125 0.625 0.125
Co1 0.000 0.000 0.500
Co2 0.500 0.000 0.500
Cu1 0.500 0.000 0.000
Cu2 0.500 0.500 0.500

- raw formation energy (eV per atom) = -1.980



(7)
CsNb2GeOs | GGA-PBEsol | relaxed

Unit cell a=4.912 b=4.912 c=5.499 alpha=90.00 beta=90.00 gamma=90.00
Sites, in units of the cell vectors:
Nb1 0.000 0.500 0.000
Nb2 0.500 0.000 0.000
Os1 0.000 0.000 0.000
Ge1 0.500 0.500 0.500
Cs1 0.000 0.000 0.500

- ΔE_f (eV/atom) = 1.67



(8)
FeSb6Pd | GGA-PBEsol | relaxed

Unit cell a=7.919 b=7.919 c=7.957 alpha=109.40 beta=109.30 gamma=109.53
Sites, in units of the cell vectors:
Sb1 0.493 0.347 0.167
Sb2 0.324 0.160 0.484
Sb3 0.148 0.820 0.652
Sb4 0.852 0.180 0.348
Sb5 0.168 0.496 0.348
Sb6 0.820 0.674 0.167
Sb7 0.676 0.840 0.516
Sb8 0.649 0.153 0.802
Sb9 0.351 0.847 0.198
Sb10 0.832 0.504 0.652
Sb11 0.507 0.653 0.833
Sb12 0.180 0.326 0.833
Pd1 0.500 0.000 0.000
Pd2 0.000 0.500 0.000
Fe1 0.000 0.000 0.500
Fe2 0.500 0.500 0.500

- raw formation energy (eV per atom) = -0.228



(9)
SbSeSCl2 | GGA-PBEsol | relaxed

Unit cell a=5.086 b=5.184 c=5.184 alpha=90.00 beta=90.00 gamma=90.00
Sites, in units of the cell vectors:
Sb1 0.000 0.000 0.000
S1 0.500 0.000 0.000
Cl1 0.000 0.500 0.000
Cl2 0.000 0.000 0.500
Se1 0.500 0.500 0.500

- raw formation energy (eV per atom) = 0.213



(10)
YCoIN2 | GGA-PBEsol | relaxed

Unit cell a=4.008 b=4.008 c=4.798 alpha=90.00 beta=90.00 gamma=90.00
Sites, in units of the cell vectors:
N1 0.000 0.500 0.000
N2 0.500 0.000 0.000
I1 0.000 0.000 0.500
Y1 0.500 0.500 0.500
Co1 0.000 0.000 0.000

- raw formation energy (eV per atom) = 0.557



(11)
NdNi12B6 | GGA-PBEsol | relaxed

Unit cell a=5.974 b=5.974 c=10.915 alpha=90.00 beta=90.00 gamma=104.66
Sites, in units of the cell vectors:
Ni1 0.995 0.630 0.063
Ni2 0.370 0.005 0.563
Ni3 0.474 0.210 0.225
Ni4 0.657 0.273 0.432
Ni5 0.220 0.220 0.401
Ni6 0.780 0.780 0.901
Ni7 0.804 0.541 0.265
Ni8 0.433 0.433 0.582
Ni9 0.541 0.804 0.265
Ni10 0.459 0.196 0.765
Ni11 0.120 0.855 0.746
Ni12 0.210 0.474 0.225
Ni13 0.630 0.995 0.063
Ni14 0.273 0.657 0.432
Ni15 0.005 0.370 0.563
Ni16 0.880 0.145 0.246
Ni17 0.727 0.343 0.932
Ni18 0.343 0.727 0.932
Ni19 0.567 0.567 0.082
Ni20 0.526 0.790 0.725
Ni21 0.196 0.459 0.765
Ni22 0.145 0.880 0.246
Ni23 0.855 0.120 0.746
Ni24 0.790 0.526 0.725
B1 0.757 0.325 0.115
B2 0.486 0.486 0.342
B3 0.243 0.675 0.615
B4 0.675 0.243 0.615
B5 0.164 0.164 0.663
B6 0.325 0.757 0.115
B7 0.836 0.836 0.163
B8 0.987 0.401 0.378
B9 0.599 0.013 0.878
B10 0.514 0.514 0.842
B11 0.401 0.987 0.378
B12 0.013 0.599 0.878
Nd1 0.167 0.167 0.002
Nd2 0.833 0.833 0.502

- ΔE_f (eV/atom) = -0.45



(12)
BeRu2 | GGA-PBEsol | relaxed

Unit cell a=4.422 b=4.504 c=4.504 alpha=76.05 beta=60.60 gamma=60.60
Sites, in units of the cell vectors:
Ru1 0.156 0.500 0.188
Ru2 0.344 0.812 0.500
Ru3 0.656 0.188 0.500
Ru4 0.844 0.500 0.812
Be1 0.250 0.000 0.000
Be2 0.750 0.000 0.000

- ΔE_f (eV/atom) = -0.11



| no. | electronic total energy (Ha/atom) |
| --- | --- |
| 1 | -0.1613 |
| 2 | -0.2599 |
| 3 | -0.2092 |
| 4 | -0.2388 |
| 5 | -0.1768 |
| 6 | -0.1731 |
| 7 | -0.2307 |
| 8 | -0.2025 |
| 9 | -0.1157 |
| 10 | -0.2249 |
| 11 | -0.2508 |
| 12 | -0.3022 |